Entry 1:
A plane-wave DFT calculation with PBE-GGA was carried out for a geometry-optimized Ba2SiTc structure.

Structure (POSCAR):
```
Ba2SiTc
1.0
4.262 0.007 -0.003
2.131 3.691 -0.003
2.092 1.210 9.170
Ba Si Tc
2 1 1
Cartesian
2.107 1.219 3.421
2.110 1.221 8.042
4.236 2.450 5.729
6.365 3.682 5.725
```

Properties
E_form (uncorrected) in kcal/mol of atoms: -2.41
DOS at the Fermi energy in states/eV per cell: 3.58
Calculated density in g/cm³: 4.62
Calculated volume in Å³ per atom: 36.0

Entry 2:
A plane-wave DFT calculation with PBE-GGA was carried out for a geometry-optimized Ba3SiTc structure.

Structure (POSCAR):
```
Ba3SiTc
1.0
-2.791 -5.002 -0.224
1.843 -1.265 5.279
-4.656 2.498 2.224
Si Ba Tc
1 3 1
Cartesian
-2.802 -1.884 3.639
0.921 -0.632 2.640
-1.396 -2.501 -0.112
-2.328 1.249 1.112
0.000 0.000 0.000
```

Properties
Distance to the lowest polymorph of the same formula in meV/atom: 0.0
E_form (uncorrected) in kcal/mol of atoms: 13.72
DOS at the Fermi energy in states/eV per cell: 4.41
Calculated density in g/cm³: 4.74
Calculated volume in Å³ per atom: 37.7

- Among the records above, which one has the highest calculated volume?
  Ba3SiTc

- Among the records above, which one has the highest calculated density?
  Ba3SiTc